[1]
Compound: NaNb2Br
Source: Alexandria
Functional: PBE
Structure: relaxed

The structure in POSCAR format:
```
NaNb2Br
1.0
0.0000 3.3649 3.3649
3.3649 0.0000 3.3649
3.3649 3.3649 0.0000
Na Br Nb
1 1 2
Cartesian
0.0000 0.0000 0.0000 Na
3.3649 3.3649 3.3649 Br
5.0474 5.0474 5.0474 Nb
1.6825 1.6825 1.6825 Nb
```

Summary:
**Calculated volume**: 19.05 Å³/atom
**Energy relative to the elements, uncorrected**: 1.247 eV/atom
**Mass density**: 6.291 g/cm³
**Crystal system**: cubic
**E above lowest polymorph**: 0.763 eV/atom

---

[2]
Compound: Mg6TlGa3
Source: Alexandria
Functional: PBE
Structure: relaxed

The structure in POSCAR format:
```
Mg6TlGa3
1.0
4.4738 0.0000 0.0000
0.0000 9.3529 -0.4837
0.0000 -0.2404 10.0720
Mg Ga Tl
12 6 2
Cartesian
1.1184 2.4376 5.0994 Mg
1.1184 7.6720 2.3835 Mg
3.3553 7.6610 7.6012 Mg
1.1184 0.3758 9.1412 Mg
1.1184 1.4516 1.9872 Mg
3.3553 8.7368 0.4472 Mg
3.3553 1.4406 7.2048 Mg
3.3553 6.6750 4.4889 Mg
3.3553 4.8007 8.8174 Mg
1.1184 5.6570 6.6350 Mg
3.3553 3.4556 2.9534 Mg
1.1184 4.3118 0.7709 Mg
1.1184 5.0482 3.6762 Ga
3.3553 6.0340 1.5412 Ga
1.1184 6.7984 9.4414 Ga
3.3553 4.0643 5.9121 Ga
3.3553 2.3141 0.1470 Ga
1.1184 3.0785 8.0472 Ga
1.1184 8.6818 5.6757 Tl
3.3553 0.4308 3.9126 Tl
```

Summary:
**Calculated volume**: 21.05 Å³/atom
**Formation energy from the elements**: -0.940 eV per formula unit
**Mass density**: 4.414 g/cm³
**Crystal system**: monoclinic

---

[3]
Compound: MnAl2Mo
Source: Alexandria
Functional: PBE
Structure: relaxed

The structure in POSCAR format:
```
MnAl2Mo
1.0
6.8277 0.0000 0.0000
0.0000 6.8277 0.0000
3.4139 3.4139 2.6779
Al Mn Mo
4 2 2
Cartesian
5.1208 5.2427 2.0084 Al
4.9989 1.7069 0.6695 Al
8.5347 8.4128 2.0084 Al
1.8289 5.1208 0.6695 Al
3.4139 3.4139 0.0000 Mn
3.4139 6.8277 1.3389 Mn
6.8277 3.4139 1.3389 Mo
0.0000 0.0000 0.0000 Mo
```

Summary:
**Calculated volume**: 15.60 Å³/atom
**Formation energy from the elements**: 1.267 eV per formula unit
**Mass density**: 5.449 g/cm³
**Crystal system**: tetragonal

---

[4]
Compound: RbNa2ZnSn
Source: Alexandria
Functional: PBE
Structure: relaxed

The structure in POSCAR format:
```
RbNa2ZnSn
1.0
6.0875 0.0000 0.0000
0.0000 6.0875 0.0000
0.0000 0.0000 5.2995
Na Sn Zn Rb
2 1 1 1
Cartesian
0.0000 3.0438 0.0000 Na
3.0438 0.0000 0.0000 Na
0.0000 0.0000 0.0000 Sn
0.0000 0.0000 2.6497 Zn
3.0438 3.0438 2.6497 Rb
```

Summary:
**Calculated volume**: 39.28 Å³/atom
**Formation energy from the elements**: -0.001 eV per formula unit
**Mass density**: 2.668 g/cm³
**Crystal system**: tetragonal
**E above lowest polymorph**: 0.000 eV/atom

---

[5]
Compound: Ac8As3PSe4
Source: Alexandria
Functional: PBE
Structure: relaxed

The structure in POSCAR format:
```
Ac8As3PSe4
1.0
-6.2762 2.2639 6.0277
-6.3069 -3.9459 -5.0849
7.2419 -4.6607 2.5845
Ac As Se P
8 3 4 1
Cartesian
-5.7832 -3.5335 2.0119 Ac
-6.3573 0.6491 3.2404 Ac
0.4420 -2.8092 1.5153 Ac
-3.1782 -0.4977 0.1872 Ac
-2.6523 -4.6309 -1.0224 Ac
1.0161 -6.9918 0.2869 Ac
-2.1631 -5.8451 3.3401 Ac
-2.6889 -1.7119 4.5497 Ac
-6.2916 -0.8410 0.4714 As
-2.6706 -3.1714 1.7636 As
0.4675 -4.3033 -1.2502 As
0.0000 0.0000 0.0000 Se
-3.1381 1.1319 3.0139 Se
0.4828 -1.1984 4.3061 Se
3.6210 -2.3304 1.2922 Se
-3.1534 -1.9729 -2.5425 P
```

Summary:
**Calculated volume**: 32.23 Å³/atom
**Energy relative to the elements, uncorrected**: -1.737 eV/atom
**Mass density**: 7.688 g/cm³
**Crystal system**: trigonal

---

[6]
Compound: Mg2ScPd
Source: Alexandria
Functional: PBE
Structure: relaxed

The structure in POSCAR format:
```
Mg2ScPd
1.0
4.7286 0.0000 0.0000
0.0000 4.0414 0.0000
0.0000 0.0000 4.0414
Sc Mg Pd
1 2 1
Cartesian
2.3643 0.0000 0.0000 Sc
0.0000 0.0000 2.0207 Mg
0.0000 2.0207 0.0000 Mg
2.3643 2.0207 2.0207 Pd
```

Summary:
**Calculated volume**: 19.31 Å³/atom
**Formation energy from the elements**: -1.561 eV per formula unit
**Mass density**: 4.300 g/cm³
**Crystal system**: tetragonal

---

[7]
Compound: Na2SbTe3
Source: Alexandria
Functional: PBE
Structure: relaxed

The structure in POSCAR format:
```
Na2SbTe3
1.0
-5.2613 -4.8196 -4.1148
2.3742 -7.6450 1.8160
-2.5566 -5.4644 5.5664
Te Sb Na
6 2 4
Cartesian
-4.0034 -10.1844 0.5794 Te
-0.5780 -11.4956 5.9839 Te
-1.4403 -7.7447 2.6881 Te
-4.8657 -6.4334 -2.7164 Te
-3.1572 -13.9282 3.8874 Te
-2.2864 -4.0009 -0.6199 Te
-1.8865 -11.1206 -1.0308 Sb
-3.5572 -6.8085 4.2983 Sb
-0.5372 -4.7339 2.1299 Na
-2.3476 -10.7536 3.2497 Na
-3.0960 -7.1754 0.0178 Na
-4.9065 -13.1952 1.1377 Na
```

Summary:
**Calculated volume**: 32.63 Å³/atom
**Energy relative to the elements, uncorrected**: -0.468 eV/atom
**Mass density**: 4.669 g/cm³
**Crystal system**: monoclinic
**E above lowest polymorph**: 0.000 eV/atom

---

[8]
Compound: Tb5Y8Mg
Source: Alexandria
Functional: PBE
Structure: relaxed

The structure in POSCAR format:
```
Tb5Y8Mg
1.0
8.0157 0.0000 -2.6243
-4.0618 6.7973 -2.9047
0.1080 0.0000 8.4337
Y Tb Mg
8 5 1
Cartesian
4.8691 1.7387 0.1840 Y
0.9391 6.1380 2.9094 Y
3.8037 2.6826 4.8576 Y
1.7646 4.1147 -0.8756 Y
-2.3136 5.0586 1.6434 Y
1.6804 1.8202 2.0122 Y
-1.6145 4.9770 -1.9650 Y
7.1186 0.6592 2.8529 Y
4.0618 0.0000 2.9047 Tb
3.8436 4.6685 1.8638 Tb
3.3525 6.0776 -3.3419 Tb
1.9832 0.7197 7.1576 Tb
-1.0556 2.1288 0.1299 Tb
0.0540 3.3986 4.2169 Mg
```

Summary:
**Calculated volume**: 32.96 Å³/atom
**Formation energy from the elements**: 3.109 eV per formula unit
**Mass density**: 5.507 g/cm³
**Crystal system**: tetragonal

---

[9]
Compound: Zn6CdAg8
Source: Alexandria
Functional: PBE
Structure: relaxed

The structure in POSCAR format:
```
Zn6CdAg8
1.0
7.6918 0.0000 0.0000
3.8459 6.6613 0.0000
3.8459 2.2204 5.2999
Ag Zn Cd
8 6 1
Cartesian
3.8459 2.2204 1.2830 Ag
11.5377 6.6613 4.0170 Ag
6.1287 6.5398 1.9881 Ag
5.0925 4.1366 3.3118 Ag
10.2911 4.7452 1.9881 Ag
6.6557 2.0377 1.9881 Ag
9.2550 2.3420 3.3118 Ag
8.7279 6.8441 3.3118 Ag
9.9115 4.5115 4.6461 Zn
8.7405 6.3985 0.6539 Zn
8.8629 2.5539 0.6539 Zn
6.6432 2.4832 4.6461 Zn
6.5208 6.3278 4.6461 Zn
5.4722 4.3702 0.6539 Zn
0.0000 0.0000 0.0000 Cd
```

Summary:
**Calculated volume**: 18.10 Å³/atom
**Formation energy from the elements**: 0.707 eV per formula unit
**Mass density**: 8.364 g/cm³
**Crystal system**: trigonal

---

[10]
Compound: BaHg17Pb
Source: Alexandria
Functional: PBE
Structure: relaxed

The structure in POSCAR format:
```
BaHg17Pb
1.0
-6.0951 5.4724 -2.9792
-1.9714 -1.6796 -8.3226
-7.7401 -3.9485 -0.6884
Hg Pb Ba
17 1 1
Cartesian
-1.2006 -0.7646 -4.0066 Hg
-3.8165 -1.7935 -0.5448 Hg
-3.0706 2.4785 -1.5836 Hg
-6.5529 2.5673 -2.2811 Hg
-5.9449 -3.2168 -3.0075 Hg
-1.2600 -0.0124 -0.9558 Hg
-8.6521 0.6485 -3.5458 Hg
-3.7220 -2.3424 -5.9493 Hg
-4.8157 3.2506 -4.5802 Hg
-14.2994 -0.1408 -10.8469 Hg
-7.5067 -0.6766 -8.1726 Hg
-9.0036 1.9197 -6.2329 Hg
-6.8296 -2.5124 -5.9074 Hg
-6.1026 1.6513 -6.9198 Hg
-3.2266 0.4946 -6.6392 Hg
-9.6008 -1.5002 -5.4013 Hg
-7.1867 -1.0630 -1.3984 Hg
-4.4334 -0.0437 -3.3630 Pb
-11.3253 -0.1115 -8.5909 Ba
```

Summary:
**Calculated volume**: 29.15 Å³/atom
**Formation energy from the elements**: -1.387 eV per formula unit
**Mass density**: 11.256 g/cm³
**Crystal system**: trigonal

---

[11]
Compound: NdRe3B3
Source: Alexandria
Functional: PBE
Structure: relaxed

The structure in POSCAR format:
```
NdRe3B3
1.0
3.0118 0.0000 0.0000
0.0000 7.3433 -4.1925
0.0000 -0.0410 8.4557
Re Nd B
6 2 6
Cartesian
2.2589 5.4622 -2.8331 Re
0.7530 0.2367 2.3088 Re
0.7530 5.1846 3.3138 Re
0.7530 1.8401 7.0963 Re
2.2589 2.1178 0.9494 Re
2.2589 7.0657 1.9544 Re
2.2589 2.4204 4.2396 Nd
0.7530 4.8819 0.0236 Nd
2.2589 4.0654 2.1265 B
0.7530 3.8334 5.9982 B
0.7530 0.1910 4.5841 B
2.2589 7.1113 -0.3209 B
2.2589 3.4689 -1.7350 B
0.7530 3.2369 2.1367 B
```

Summary:
**Calculated volume**: 13.32 Å³/atom
**Formation energy from the elements**: -0.844 eV per formula unit
**Mass density**: 13.094 g/cm³
**Crystal system**: hexagonal

---

[12]
Compound: La2Dy5TmSc
Source: Alexandria
Functional: PBE
Structure: relaxed

The structure in POSCAR format:
```
La2Dy5TmSc
1.0
5.5638 0.0000 0.0000
-2.7819 10.0447 0.0000
0.0000 0.0000 10.4114
Sc La Dy Tm
2 4 10 2
Cartesian
0.0000 3.9477 0.1445 Sc
2.7819 6.0970 5.3502 Sc
2.7819 7.7519 8.4733 La
0.0000 2.2928 3.2676 La
2.7819 7.7232 2.4541 La
0.0000 2.3215 7.6598 La
0.0000 0.3044 0.1724 Dy
2.7819 4.5276 8.5302 Dy
0.0000 5.9670 7.2936 Dy
2.7819 0.3146 2.5209 Dy
0.0000 7.5050 0.1984 Dy
0.0000 5.5170 3.3245 Dy
2.7819 4.0776 2.0879 Dy
0.0000 9.7301 7.7266 Dy
2.7819 9.7403 5.3781 Dy
2.7819 2.5397 5.4041 Dy
0.0000 8.1629 4.8197 Tm
2.7819 1.8818 10.0254 Tm
```

Summary:
**Calculated volume**: 32.33 Å³/atom
**Formation energy from the elements**: 1.356 eV per formula unit
**Mass density**: 7.444 g/cm³
**Crystal system**: orthorhombic